Entry 1:
An optimized crystal structure of La6P2Se3Br. Source: Alexandria, functional PBE.

It has space group C2/m (No. 12), with a = 18.732 Å, b = 4.287 Å, c = 8.662 Å, α = 90.00°, β = 102.96° and γ = 90.00°. Symmetry generates all atoms from La at (0.007, 0.000, 0.265), La at (0.171, 0.500, 0.574), La at (0.173, 0.500, 0.102), P at (0.167, 0.000, 0.333), Se at (0.000, 0.500, 0.500), Se at (0.163, 0.000, 0.834) and Br at (0.000, 0.500, 0.000).

As for the total magnetization: 0.00 μB per formula unit. The value obtained for the volume is 677.8 Å³ per cell. The formation energy from raw total energies is -1.805 eV per atom. As for the electronic total energy: -6.181 eV/atom. For the mass density, the calculation gives 5.94 g cm⁻³.

Entry 2:
An optimized crystal structure of LaPSe2Br. Source: Alexandria, functional PBE.

It has space group P4/mmm (No. 123), with a = 5.891 Å, b = 5.891 Å, c = 5.780 Å, α = 90.00°, β = 90.00° and γ = 90.00°. Symmetry generates all atoms from La at (0.000, 0.000, 0.000), P at (0.500, 0.500, 0.500), Se at (0.000, 0.500, 0.000) and Br at (0.000, 0.000, 0.500).

As for the total magnetization: 1.00 μB per formula unit. The value obtained for the volume is 200.6 Å³ per cell. The formation energy from raw total energies is -0.074 eV per atom. As for the electronic total energy: -3.869 eV/atom. For the mass density, the calculation gives 3.38 g cm⁻³. The value obtained for the energy relative to the lowest polymorph listed for this composition is 598 meV per atom.

Entry 3:
An optimized crystal structure of La6P2SeBr3. Source: Alexandria, functional PBE.

It has space group C2/m (No. 12), with a = 7.428 Å, b = 12.859 Å, c = 7.685 Å, α = 90.00°, β = 108.76° and γ = 90.00°. Symmetry generates all atoms from La at (0.226, 0.000, 0.211), La at (0.243, 0.328, 0.213), P at (0.000, 0.167, 0.000), Se at (0.000, 0.500, 0.000), Br at (0.000, 0.000, 0.500) and Br at (0.000, 0.336, 0.500).

As for the total magnetization: 0.00 μB per formula unit. The value obtained for the volume is 695.0 Å³ per cell. The formation energy from raw total energies is -1.625 eV per atom. As for the electronic total energy: -5.698 eV/atom. For the mass density, the calculation gives 5.80 g cm⁻³.

Entry 4:
An optimized crystal structure of La6SnP2Br3. Source: Alexandria, functional PBE.

It has space group C2/m (No. 12), with a = 19.343 Å, b = 4.368 Å, c = 8.917 Å, α = 90.00°, β = 104.39° and γ = 90.00°. Symmetry generates all atoms from La at (0.015, 0.000, 0.256), La at (0.168, 0.500, 0.120), La at (0.176, 0.500, 0.562), Sn at (0.000, 0.500, 0.000), P at (0.170, 0.000, 0.339), Br at (0.000, 0.500, 0.500) and Br at (0.163, 0.000, 0.833).

As for the total magnetization: 0.00 μB per formula unit. The value obtained for the volume is 729.8 Å³ per cell. The formation energy from raw total energies is -1.417 eV per atom. As for the electronic total energy: -5.535 eV/atom. For the mass density, the calculation gives 5.71 g cm⁻³.

Entry 5:
An optimized crystal structure of SrLaPBr. Source: Alexandria, functional PBE.

It has space group R3m (No. 160, hexagonal axes), with a = 4.2792 Å, b = 4.2792 Å, c = 23.2149 Å, α = 90.00°, β = 90.00° and γ = 120.00°. Symmetry generates all atoms from Sr at (0.0000, 0.0000, 0.0000), La at (0.0000, 0.0000, 0.8035), P at (0.0000, 0.0000, 0.4053) and Br at (0.0000, 0.0000, 0.2316).

As for the total magnetization: 0.00 μB per formula unit. The value obtained for the volume is 368.2 Å³ per cell. The formation energy from raw total energies is -1.505 eV per atom. As for the electronic total energy: -4.928 eV/atom. For the mass density, the calculation gives 4.57 g cm⁻³.

Entry 6:
An optimized crystal structure of La2TbP2Br2. Source: Alexandria, functional PBE.

It has space group I4/mmm (No. 139), with a = 5.304 Å, b = 5.304 Å, c = 15.544 Å, α = 90.00°, β = 90.00° and γ = 90.00°. Symmetry generates all atoms from La at (0.000, 0.000, 0.105), Tb at (0.000, 0.000, 0.500), P at (0.000, 0.500, 0.000) and Br at (0.000, 0.000, 0.307).

As for the total magnetization: 0.85 μB per formula unit. The value obtained for the volume is 437.3 Å³ per cell. The formation energy from raw total energies is -1.423 eV per atom. As for the electronic total energy: -5.516 eV/atom. For the mass density, the calculation gives 5.00 g cm⁻³.

Entry 7:
An optimized crystal structure of La8Tc3PBr4. Source: Alexandria, functional PBE.

It has space group R-3m (No. 166, hexagonal axes), with a = 8.4871 Å, b = 8.4871 Å, c = 23.3360 Å, α = 90.00°, β = 90.00° and γ = 120.00°. Symmetry generates all atoms from La at (0.0000, 0.0000, 0.2377), La at (0.0135, 0.5067, 0.7699), Tc at (0.0000, 0.5000, 0.5000), P at (0.0000, 0.0000, 0.5000), Br at (0.0000, 0.0000, 0.0000) and Br at (0.0000, 0.5000, 0.0000).

As for the total magnetization: 0.00 μB per formula unit. The value obtained for the volume is 1455.7 Å³ per cell. The formation energy from raw total energies is -0.855 eV per atom. As for the electronic total energy: -6.018 eV/atom. For the mass density, the calculation gives 6.01 g cm⁻³.

Entry 8:
An optimized crystal structure of La6Tc2PBr3. Source: Alexandria, functional PBE.

It has space group C2/m (No. 12), with a = 7.366 Å, b = 12.749 Å, c = 8.116 Å, α = 90.00°, β = 107.62° and γ = 90.00°. Symmetry generates all atoms from La at (0.218, 0.000, 0.197), La at (0.239, 0.326, 0.197), Tc at (0.000, 0.167, 0.000), P at (0.000, 0.500, 0.000), Br at (0.000, 0.000, 0.500) and Br at (0.000, 0.334, 0.500).

As for the total magnetization: 0.00 μB per formula unit. The value obtained for the volume is 726.4 Å³ per cell. The formation energy from raw total energies is -0.951 eV per atom. As for the electronic total energy: -6.011 eV/atom. For the mass density, the calculation gives 5.94 g cm⁻³.